DFT (PBE) results for an optimized crystal structure of Ca2ZnMoW.

The space group is P4/mmm (No. 123) and the conventional cell measures 4.958, 4.958 and 4.924 Å, with angles of 90.00, 90.00 and 90.00 degrees. The inequivalent atoms are Ca at (0.000, 0.500, 0.000), Zn at (0.000, 0.000, 0.000), Mo at (0.000, 0.000, 0.500) and W at (0.500, 0.500, 0.500).

The calculation puts the density of states at the Fermi level at 6.78 states/eV per cell. Its total magnetization is 0.00 μB/cell. The calculation puts the energy of formation from the pure elements at 1.66 eV per atom. The uncorrected energy is -4.15 eV/atom.

DFT (PBE) results for an optimized crystal structure of CaYMo2.

The space group is Pm (No. 6) and the conventional cell measures 3.315, 3.315 and 8.693 Å, with angles of 90.00, 90.14 and 90.00 degrees. The inequivalent atoms are Ca at (0.000, 0.000, 0.000), Y at (0.501, 0.500, 0.373), Mo at (0.002, 0.000, 0.602) and Mo at (0.500, 0.500, 0.746).

The calculation puts the density of states at the Fermi level at 3.91 states/eV per cell. Its total magnetization is 0.00 μB/cell. The calculation puts the energy of formation from the pure elements at 0.26 eV per atom. The uncorrected energy is -7.27 eV/atom.

DFT (PBE) results for an optimized crystal structure of CaYMo4.

The space group is F-43m (No. 216) and the conventional cell measures 7.824, 7.824 and 7.824 Å, with angles of 90.00, 90.00 and 90.00 degrees. The inequivalent atoms are Ca at (0.000, 0.000, 0.000), Y at (0.250, 0.250, 0.250) and Mo at (0.125, 0.125, 0.625).

The calculation puts the density of states at the Fermi level at 30.61 states/eV per cell. Its total magnetization is 0.00 μB/cell. The calculation puts the energy of formation from the pure elements at 0.30 eV per atom. The uncorrected energy is -8.33 eV/atom.

DFT (PBE) results for an optimized crystal structure of CaY4Mo.

The space group is F-43m (No. 216) and the conventional cell measures 9.107, 9.107 and 9.107 Å, with angles of 90.00, 90.00 and 90.00 degrees. The inequivalent atoms are Ca at (0.000, 0.000, 0.000), Y at (0.123, 0.123, 0.623) and Mo at (0.250, 0.250, 0.250).

The calculation puts the density of states at the Fermi level at 37.10 states/eV per cell. Its total magnetization is 13.84 μB/cell. The calculation puts the energy of formation from the pure elements at 0.77 eV per atom. The uncorrected energy is -5.68 eV/atom.

DFT (PBE) results for an optimized crystal structure of CaYMo2.

The space group is Pmmm (No. 47) and the conventional cell measures 3.408, 4.525 and 6.539 Å, with angles of 90.00, 90.00 and 90.00 degrees. The inequivalent atoms are Ca at (0.000, 0.000, 0.000), Y at (0.000, 0.000, 0.500) and Mo at (0.500, 0.500, 0.328).

The calculation puts the density of states at the Fermi level at 3.99 states/eV per cell. Its total magnetization is 0.00 μB/cell. The calculation puts the energy of formation from the pure elements at 0.63 eV per atom. The uncorrected energy is -6.90 eV/atom.

DFT (PBE) results for an optimized crystal structure of CaYMo2.

The space group is Cmmm (No. 65) and the conventional cell measures 5.818, 9.999 and 2.886 Å, with angles of 90.00, 90.00 and 90.00 degrees. The inequivalent atoms are Ca at (0.000, 0.000, 0.000), Y at (0.000, 0.500, 0.000) and Mo at (0.250, 0.250, 0.500).

The calculation puts the density of states at the Fermi level at 6.57 states/eV per cell. Its total magnetization is 0.00 μB/cell. The calculation puts the energy of formation from the pure elements at 0.74 eV per atom. The uncorrected energy is -6.79 eV/atom.

DFT (PBE) results for an optimized crystal structure of CaYMo.

The space group is P-6m2 (No. 187) and the conventional cell measures 5.1901, 5.1901 and 3.1305 Å, with angles of 90.00, 90.00 and 120.00 degrees. The inequivalent atoms are Ca at (0.0000, 0.0000, 0.0000), Y at (0.3333, 0.6667, 0.5000) and Mo at (0.6667, 0.3333, 0.0000).

The calculation puts the density of states at the Fermi level at 3.32 states/eV per cell. Its total magnetization is 0.00 μB/cell. The calculation puts the energy of formation from the pure elements at 0.64 eV per atom. The uncorrected energy is -5.79 eV/atom.

DFT (PBE) results for an optimized crystal structure of CaYMo2.

The space group is P2/m (No. 10) and the conventional cell measures 3.018, 4.995 and 6.519 Å, with angles of 90.00, 103.17 and 90.00 degrees. The inequivalent atoms are Ca at (0.000, 0.000, 0.000), Y at (0.500, 0.000, 0.500) and Mo at (0.193, 0.500, 0.680).

The calculation puts the density of states at the Fermi level at 3.76 states/eV per cell. Its total magnetization is 0.00 μB/cell. The calculation puts the energy of formation from the pure elements at 0.64 eV per atom. The uncorrected energy is -6.90 eV/atom.

DFT (PBE) results for an optimized crystal structure of CaYMo2.

The space group is Pmmm (No. 47) and the conventional cell measures 3.910, 4.281 and 5.004 Å, with angles of 90.00, 90.00 and 90.00 degrees. The inequivalent atoms are Ca at (0.000, 0.000, 0.000), Y at (0.500, 0.500, 0.000), Mo at (0.000, 0.500, 0.500) and Mo at (0.500, 0.000, 0.500).

The calculation puts the density of states at the Fermi level at 3.46 states/eV per cell. Its total magnetization is 0.00 μB/cell. The calculation puts the energy of formation from the pure elements at 0.74 eV per atom. The uncorrected energy is -6.79 eV/atom.

DFT (PBE) results for an optimized crystal structure of CaYMo2.

The space group is Cmmm (No. 65) and the conventional cell measures 4.072, 4.106 and 10.092 Å, with angles of 90.00, 90.00 and 90.00 degrees. The inequivalent atoms are Ca at (0.000, 0.000, 0.000), Y at (0.000, 0.000, 0.500) and Mo at (0.000, 0.500, 0.256).

The calculation puts the density of states at the Fermi level at 7.04 states/eV per cell. Its total magnetization is 0.00 μB/cell. The calculation puts the energy of formation from the pure elements at 0.74 eV per atom. The uncorrected energy is -6.79 eV/atom.

DFT (PBE) results for an optimized crystal structure of Ca3YMo.

The space group is Pm-3m (No. 221) and the conventional cell measures 5.600, 5.600 and 5.600 Å, with angles of 90.00, 90.00 and 90.00 degrees. The inequivalent atoms are Ca at (0.000, 0.000, 0.500), Y at (0.500, 0.500, 0.500) and Mo at (0.000, 0.000, 0.000).

The calculation puts the density of states at the Fermi level at 3.57 states/eV per cell. Its total magnetization is 2.46 μB/cell. The calculation puts the energy of formation from the pure elements at 0.80 eV per atom. The uncorrected energy is -3.86 eV/atom.

DFT (PBE) results for an optimized crystal structure of CaYMo2.

The space group is Fm-3m (No. 225) and the conventional cell measures 7.106, 7.106 and 7.106 Å, with angles of 90.00, 90.00 and 90.00 degrees. The inequivalent atoms are Ca at (0.000, 0.000, 0.000), Y at (0.000, 0.000, 0.500) and Mo at (0.250, 0.250, 0.250).

The calculation puts the density of states at the Fermi level at 24.96 states/eV per cell. Its total magnetization is 13.93 μB/cell. The calculation puts the energy of formation from the pure elements at 1.00 eV per atom. The uncorrected energy is -6.53 eV/atom.

DFT (PBE) results for an optimized crystal structure of Ca4YMo.

The space group is F-43m (No. 216) and the conventional cell measures 9.436, 9.436 and 9.436 Å, with angles of 90.00, 90.00 and 90.00 degrees. The inequivalent atoms are Ca at (0.125, 0.125, 0.125), Y at (0.000, 0.000, 0.500) and Mo at (0.250, 0.250, 0.750).

The calculation puts the density of states at the Fermi level at 33.51 states/eV per cell. Its total magnetization is 11.93 μB/cell. The calculation puts the energy of formation from the pure elements at 0.88 eV per atom. The uncorrected energy is -3.34 eV/atom.

DFT (PBE) results for an optimized crystal structure of CaYMo2.

The space group is I-42d (No. 122) and the conventional cell measures 7.971, 7.971 and 5.690 Å, with angles of 90.00, 90.00 and 90.00 degrees. The inequivalent atoms are Ca at (0.000, 0.000, 0.000), Y at (0.000, 0.000, 0.500) and Mo at (0.247, 0.250, 0.125).

The calculation puts the density of states at the Fermi level at 16.30 states/eV per cell. Its total magnetization is 0.00 μB/cell. The calculation puts the energy of formation from the pure elements at 1.25 eV per atom. The uncorrected energy is -6.28 eV/atom.

DFT (PBE) results for an optimized crystal structure of CaYMo2.

The space group is R-3m (No. 166, hexagonal axes) and the conventional cell measures 3.1061, 3.1061 and 30.8279 Å, with angles of 90.00, 90.00 and 120.00 degrees. The inequivalent atoms are Ca at (0.0000, 0.0000, 0.0000), Y at (0.0000, 0.0000, 0.5000) and Mo at (0.0000, 0.0000, 0.2486).

The calculation puts the density of states at the Fermi level at 13.29 states/eV per cell. Its total magnetization is 0.00 μB/cell. The calculation puts the energy of formation from the pure elements at 0.89 eV per atom. The uncorrected energy is -6.64 eV/atom.

DFT (PBE) results for an optimized crystal structure of CaYMo.

The space group is P3m1 (No. 156) and the conventional cell measures 3.4362, 3.4362 and 7.9123 Å, with angles of 90.00, 90.00 and 120.00 degrees. The inequivalent atoms are Ca at (0.0000, 0.0000, 0.0000), Y at (0.3333, 0.6667, 0.5727) and Mo at (0.6667, 0.3333, 0.3027).

The calculation puts the density of states at the Fermi level at 3.20 states/eV per cell. Its total magnetization is 1.25 μB/cell. The calculation puts the energy of formation from the pure elements at 0.67 eV per atom. The uncorrected energy is -5.76 eV/atom.

DFT (PBE) results for an optimized crystal structure of CaYMo2.

The space group is Imm2 (No. 44) and the conventional cell measures 3.484, 5.288 and 10.178 Å, with angles of 90.00, 90.00 and 90.00 degrees. The inequivalent atoms are Ca at (0.000, 0.000, 0.000), Y at (0.000, 0.500, 0.213), Mo at (0.000, 0.000, 0.439) and Mo at (0.000, 0.500, 0.774).

The calculation puts the density of states at the Fermi level at 7.39 states/eV per cell. Its total magnetization is 0.00 μB/cell. The calculation puts the energy of formation from the pure elements at 0.36 eV per atom. The uncorrected energy is -7.17 eV/atom.

DFT (PBE) results for an optimized crystal structure of CaYMo2.

The space group is F-43m (No. 216) and the conventional cell measures 6.956, 6.956 and 6.956 Å, with angles of 90.00, 90.00 and 90.00 degrees. The inequivalent atoms are Ca at (0.000, 0.000, 0.000), Y at (0.250, 0.250, 0.750), Mo at (0.000, 0.000, 0.500) and Mo at (0.250, 0.250, 0.250).

The calculation puts the density of states at the Fermi level at 16.78 states/eV per cell. Its total magnetization is 0.00 μB/cell. The calculation puts the energy of formation from the pure elements at 0.64 eV per atom. The uncorrected energy is -6.89 eV/atom.

DFT (PBE) results for an optimized crystal structure of CaYMo2.

The space group is P4/mmm (No. 123) and the conventional cell measures 5.095, 5.095 and 3.537 Å, with angles of 90.00, 90.00 and 90.00 degrees. The inequivalent atoms are Ca at (0.000, 0.000, 0.000), Y at (0.500, 0.500, 0.000) and Mo at (0.000, 0.500, 0.500).

The calculation puts the density of states at the Fermi level at 6.98 states/eV per cell. Its total magnetization is 4.76 μB/cell. The calculation puts the energy of formation from the pure elements at 1.00 eV per atom. The uncorrected energy is -6.53 eV/atom.

DFT (PBE) results for an optimized crystal structure of CaY2Mo2.

The space group is P4/mbm (No. 127) and the conventional cell measures 8.515, 8.515 and 3.598 Å, with angles of 90.00, 90.00 and 90.00 degrees. The inequivalent atoms are Ca at (0.000, 0.000, 0.000), Y at (0.189, 0.311, 0.500) and Mo at (0.094, 0.594, 0.000).

The calculation puts the density of states at the Fermi level at 13.95 states/eV per cell. Its total magnetization is 2.25 μB/cell. The calculation puts the energy of formation from the pure elements at 0.39 eV per atom. The uncorrected energy is -6.93 eV/atom.